A relaxed structure of Tm2Sc, computed with PBE.

Values from the calculation:
Energy in eV/atom: -5.04
Crystal system: orthorhombic
Excess energy over the best structure of this formula in the dataset in eV/atom: 0.004
ΔE_f in eV per atom: 0.05

Cell lengths 7.6157, 7.6157, 4.8586 Å; angles 90.00, 90.00, 143.25 degrees
Last column: nearest neighbours and their distance in Å.
Fractional positions:
Tm 0.0810 0.9190 0.7500  6 Sc 3.36-3.42, 6 Tm 3.37-3.44
Tm 0.2487 0.7513 0.2500  4 Sc 3.40-3.45, 8 Tm 3.42-3.44
Tm 0.7513 0.2487 0.7500  4 Sc 3.40-3.45, 8 Tm 3.42-3.44
Tm 0.9190 0.0810 0.2500  6 Sc 3.36-3.42, 6 Tm 3.37-3.44
Sc 0.4181 0.5819 0.7500  10 Tm 3.36-3.45, 2 Sc 3.39
Sc 0.5819 0.4181 0.2500  10 Tm 3.36-3.45, 2 Sc 3.39


A relaxed structure of Cs4AgGe3Cl12, computed with PBE.

Values from the calculation:
Energy in eV/atom: -3.39
Raw formation energy in eV/f.u.: -25.491
Crystal system: cubic

Cell lengths 9.1658, 9.1658, 9.1658 Å; angles 109.47, 109.47, 109.47 degrees
Last column: nearest neighbours and their distance in Å.
Fractional positions:
Cs 0.0000 0.0000 0.5000  12 Cl 3.74
Cs 0.0000 0.5000 0.0000  12 Cl 3.74
Cs 0.5000 0.0000 0.0000  12 Cl 3.74
Cs 0.5000 0.5000 0.5000  12 Cl 3.74
Ag 0.0000 0.0000 0.0000  6 Cl 2.72
Ge 0.0000 0.5000 0.5000  6 Cl 2.57-2.65
Ge 0.5000 0.0000 0.5000  6 Cl 2.57-2.65
Ge 0.5000 0.5000 0.0000  6 Cl 2.57-2.65
Cl 0.0000 0.2568 0.2568  1 Ge 2.57, 1 Ag 2.72
Cl 0.0000 0.7432 0.7432  1 Ge 2.57, 1 Ag 2.72
Cl 0.2500 0.5000 0.7500  2 Ge 2.65
Cl 0.2500 0.7500 0.5000  2 Ge 2.65
Cl 0.2568 0.0000 0.2568  1 Ge 2.57, 1 Ag 2.72
Cl 0.2568 0.2568 0.0000  1 Ge 2.57, 1 Ag 2.72
Cl 0.5000 0.2500 0.7500  2 Ge 2.65
Cl 0.5000 0.7500 0.2500  2 Ge 2.65
Cl 0.7432 0.0000 0.7432  1 Ge 2.57, 1 Ag 2.72
Cl 0.7432 0.7432 0.0000  1 Ge 2.57, 1 Ag 2.72
Cl 0.7500 0.2500 0.5000  2 Ge 2.65
Cl 0.7500 0.5000 0.2500  2 Ge 2.65


Copy entry 1 word for word.
A relaxed structure of Tm2Sc, computed with PBE.

Values from the calculation:
Energy in eV/atom: -5.04
Crystal system: orthorhombic
Excess energy over the best structure of this formula in the dataset in eV/atom: 0.004
ΔE_f in eV per atom: 0.05

Cell lengths 7.6157, 7.6157, 4.8586 Å; angles 90.00, 90.00, 143.25 degrees
Last column: nearest neighbours and their distance in Å.
Fractional positions:
Tm 0.0810 0.9190 0.7500  6 Sc 3.36-3.42, 6 Tm 3.37-3.44
Tm 0.2487 0.7513 0.2500  4 Sc 3.40-3.45, 8 Tm 3.42-3.44
Tm 0.7513 0.2487 0.7500  4 Sc 3.40-3.45, 8 Tm 3.42-3.44
Tm 0.9190 0.0810 0.2500  6 Sc 3.36-3.42, 6 Tm 3.37-3.44
Sc 0.4181 0.5819 0.7500  10 Tm 3.36-3.45, 2 Sc 3.39
Sc 0.5819 0.4181 0.2500  10 Tm 3.36-3.45, 2 Sc 3.39